Computed, not measured: a relaxed structure of MgW2O7 at the PBE+U level of DFT.

Summary:
electronic total energy = -6.954 eV/atom
spin magnetization = 0.0 Bohr magnetons per cell
N(E_F) = 0.000 states/eV/atom

a = 3.6338 Å, b = 3.6338 Å, c = 28.2080 Å
α = 90.00°, β = 90.00°, γ = 120.00°
Space group R-3m (No. 166, hexagonal axes)
Symmetry-distinct sites (fractional):
Mg: 0.0000 0.0000 0.0000 [3 per cell]
W: 0.0000 0.0000 0.4311 [6 per cell]
O: 0.0000 0.0000 0.0869 [6 per cell]
O: 0.0000 0.0000 0.2269 [6 per cell]
O: 0.0000 0.0000 0.3639 [6 per cell]
O: 0.0000 0.0000 0.5000 [3 per cell]